Record 1
# KScRe2, optimized geometry, DFT PBEsol
# Total magnetization = 0.00 μB per cell
# E_form = 78.71 kJ/mol of atoms
# ρ = 10.25 Mg/m³
data_KScRe2
_chemical_formula_sum 'K1 Sc1 Re2'
_cell_length_a 2.668
_cell_length_b 2.668
_cell_length_c 10.390
_cell_angle_alpha 90.00
_cell_angle_beta 90.00
_cell_angle_gamma 90.00
_symmetry_space_group_name_H-M 'P 4/m m m'
_symmetry_Int_Tables_number 123
_symmetry_space_group_name_Hall '-P 4 2'
loop_
_atom_site_label
_atom_site_fract_x
_atom_site_fract_y
_atom_site_fract_z
K1 0.000 0.000 0.000
Sc1 0.000 0.000 0.500
Re1 0.500 0.500 0.283

***

Record 2
# K2ScRe, optimized geometry, DFT PBEsol
# Polymorph energy (0 for the lowest one) = 0.0000 eV/atom
# Total magnetization = 0.00 μB per cell
# E_form = 72.58 kJ/mol of atoms
# ρ = 3.76 Mg/m³
data_K2ScRe
_chemical_formula_sum 'K4 Sc2 Re2'
_cell_length_a 21.138
_cell_length_b 3.045
_cell_length_c 4.334
_cell_angle_alpha 90.00
_cell_angle_beta 101.39
_cell_angle_gamma 90.00
_symmetry_space_group_name_H-M 'C 1 2/m 1'
_symmetry_Int_Tables_number 12
_symmetry_space_group_name_Hall '-C 2y'
loop_
_atom_site_label
_atom_site_fract_x
_atom_site_fract_y
_atom_site_fract_z
K1 0.149 0.000 0.142
Sc1 0.000 0.000 0.500
Re1 0.000 0.500 0.000

***

Record 3
# K2ScRe, optimized geometry, DFT PBEsol
# Polymorph energy (0 for the lowest one) = 0.0153 eV/atom
# Total magnetization = 0.00 μB per cell
# E_form = 74.06 kJ/mol of atoms
# ρ = 4.07 Mg/m³
data_K2ScRe
_chemical_formula_sum 'K2 Sc1 Re1'
_cell_length_a 3.472
_cell_length_b 3.472
_cell_length_c 10.467
_cell_angle_alpha 90.00
_cell_angle_beta 90.00
_cell_angle_gamma 90.00
_symmetry_space_group_name_H-M 'P 4 m m'
_symmetry_Int_Tables_number 99
_symmetry_space_group_name_Hall 'P 4 -2'
loop_
_atom_site_label
_atom_site_fract_x
_atom_site_fract_y
_atom_site_fract_z
K1 0.000 0.000 0.000
K2 0.500 0.500 0.390
Sc1 0.500 0.500 0.721
Re1 0.000 0.000 0.624

***

Record 4
# KScRe, optimized geometry, DFT PBEsol
# Polymorph energy (0 for the lowest one) = 1.1846 eV/atom
# Total magnetization = 4.52 μB per cell
# E_form = 190.12 kJ/mol of atoms
# ρ = 6.09 Mg/m³
data_KScRe
_chemical_formula_sum 'K4 Sc4 Re4'
_cell_length_a 6.655
_cell_length_b 6.655
_cell_length_c 6.655
_cell_angle_alpha 90.00
_cell_angle_beta 90.00
_cell_angle_gamma 90.00
_symmetry_space_group_name_H-M 'F -4 3 m'
_symmetry_Int_Tables_number 216
_symmetry_space_group_name_Hall 'F -4 2 3'
loop_
_atom_site_label
_atom_site_fract_x
_atom_site_fract_y
_atom_site_fract_z
K1 0.000 0.000 0.000
Sc1 0.250 0.250 0.750
Re1 0.000 0.000 0.500

***

Record 5
# K2ScRe, optimized geometry, DFT PBEsol
# Polymorph energy (0 for the lowest one) = 0.9611 eV/atom
# Total magnetization = 1.69 μB per cell
# E_form = 165.32 kJ/mol of atoms
# ρ = 4.36 Mg/m³
data_K2ScRe
_chemical_formula_sum 'K2 Sc1 Re1'
_cell_length_a 4.646
_cell_length_b 4.646
_cell_length_c 5.461
_cell_angle_alpha 90.00
_cell_angle_beta 90.00
_cell_angle_gamma 90.00
_symmetry_space_group_name_H-M 'P 4/m m m'
_symmetry_Int_Tables_number 123
_symmetry_space_group_name_Hall '-P 4 2'
loop_
_atom_site_label
_atom_site_fract_x
_atom_site_fract_y
_atom_site_fract_z
K1 0.000 0.000 0.243
Sc1 0.500 0.500 0.500
Re1 0.500 0.500 0.000

***

Record 6
# KScRe, optimized geometry, DFT PBEsol
# Polymorph energy (0 for the lowest one) = 0.0000 eV/atom
# Total magnetization = 0.00 μB per cell
# E_form = 75.82 kJ/mol of atoms
# ρ = 6.78 Mg/m³
data_KScRe
_chemical_formula_sum 'K4 Sc4 Re4'
_cell_length_a 3.284
_cell_length_b 4.788
_cell_length_c 16.830
_cell_angle_alpha 90.00
_cell_angle_beta 90.00
_cell_angle_gamma 90.00
_symmetry_space_group_name_H-M 'F m m 2'
_symmetry_Int_Tables_number 42
_symmetry_space_group_name_Hall 'F 2 -2'
loop_
_atom_site_label
_atom_site_fract_x
_atom_site_fract_y
_atom_site_fract_z
K1 0.000 0.000 0.000
Sc1 0.000 0.000 0.288
Re1 0.000 0.000 0.668